*i*
The following is a DFT calculation (PBE) of Tl3B2S4 after structural relaxation.

Geometry as CIF:
```
data_Tl3B2S4
_cell_length_a 9.184
_cell_length_b 9.184
_cell_length_c 5.768
_cell_angle_alpha 97.03
_cell_angle_beta 97.03
_cell_angle_gamma 58.10
_symmetry_space_group_name_H-M 'P 1'
_symmetry_Int_Tables_number 1
loop_
_symmetry_equiv_pos_as_xyz
'x,y,z'
loop_
_atom_site_label
_atom_site_fract_x
_atom_site_fract_y
_atom_site_fract_z
Tl1 0.053 0.947 0.750
Tl2 0.241 0.562 0.054
Tl3 0.438 0.759 0.446
Tl4 0.562 0.241 0.554
Tl5 0.759 0.438 0.946
Tl6 0.947 0.053 0.250
B1 0.118 0.339 0.548
B2 0.339 0.118 0.048
B3 0.661 0.882 0.952
B4 0.882 0.661 0.452
S1 0.129 0.543 0.537
S2 0.134 0.272 0.868
S3 0.272 0.134 0.368
S4 0.457 0.871 0.963
S5 0.543 0.129 0.037
S6 0.728 0.866 0.632
S7 0.866 0.728 0.132
S8 0.871 0.457 0.463
```

Calculated volume = 409 Å³/cell
SG = No. 15

***

*ii*
The following is a DFT calculation (PBE) of Tl3B2S4 after structural relaxation.

Geometry as CIF:
```
data_Tl3B2S4
_cell_length_a 6.660
_cell_length_b 6.660
_cell_length_c 11.422
_cell_angle_alpha 100.72
_cell_angle_beta 100.72
_cell_angle_gamma 27.22
_symmetry_space_group_name_H-M 'P 1'
_symmetry_Int_Tables_number 1
loop_
_symmetry_equiv_pos_as_xyz
'x,y,z'
loop_
_atom_site_label
_atom_site_fract_x
_atom_site_fract_y
_atom_site_fract_z
Tl1 0.000 0.000 0.000
Tl2 0.127 0.127 0.499
Tl3 0.873 0.873 0.501
B1 0.311 0.311 0.796
B2 0.689 0.689 0.204
S1 0.256 0.256 0.164
S2 0.428 0.428 0.736
S3 0.572 0.572 0.264
S4 0.744 0.744 0.836
```

Calculated volume = 227 Å³/cell
SG = No. 12

***

Pick *i*: it beats the second-best structure by 76 meV/atom.

***

*i*
The following is a DFT calculation (PBE) of TlB2S after structural relaxation.

Geometry as CIF:
```
data_TlB2S
_cell_length_a 5.048
_cell_length_b 5.048
_cell_length_c 9.393
_cell_angle_alpha 90.00
_cell_angle_beta 90.00
_cell_angle_gamma 90.00
_symmetry_space_group_name_H-M 'P 1'
_symmetry_Int_Tables_number 1
loop_
_symmetry_equiv_pos_as_xyz
'x,y,z'
loop_
_atom_site_label
_atom_site_fract_x
_atom_site_fract_y
_atom_site_fract_z
Tl1 0.000 0.000 0.000
Tl2 0.000 0.500 0.250
Tl3 0.500 0.000 0.750
Tl4 0.500 0.500 0.500
B1 0.181 0.250 0.625
B2 0.250 0.681 0.875
B3 0.250 0.819 0.375
B4 0.319 0.250 0.125
B5 0.681 0.750 0.125
B6 0.750 0.181 0.375
B7 0.750 0.319 0.875
B8 0.819 0.750 0.625
S1 0.000 0.000 0.500
S2 0.000 0.500 0.750
S3 0.500 0.000 0.250
S4 0.500 0.500 0.000
```

Calculated volume = 239 Å³/cell
SG = No. 122

***

*ii*
The following is a DFT calculation (PBE) of TlB2S after structural relaxation.

Geometry as CIF:
```
data_TlB2S
_cell_length_a 6.312
_cell_length_b 6.312
_cell_length_c 6.312
_cell_angle_alpha 90.00
_cell_angle_beta 90.00
_cell_angle_gamma 90.00
_symmetry_space_group_name_H-M 'P 1'
_symmetry_Int_Tables_number 1
loop_
_symmetry_equiv_pos_as_xyz
'x,y,z'
loop_
_atom_site_label
_atom_site_fract_x
_atom_site_fract_y
_atom_site_fract_z
Tl1 0.000 0.000 0.000
Tl2 0.000 0.500 0.500
Tl3 0.500 0.000 0.500
Tl4 0.500 0.500 0.000
B1 0.250 0.250 0.250
B2 0.250 0.250 0.750
B3 0.250 0.750 0.250
B4 0.250 0.750 0.750
B5 0.750 0.250 0.250
B6 0.750 0.250 0.750
B7 0.750 0.750 0.250
B8 0.750 0.750 0.750
S1 0.000 0.000 0.500
S2 0.000 0.500 0.000
S3 0.500 0.000 0.000
S4 0.500 0.500 0.500
```

Calculated volume = 251 Å³/cell
SG = No. 225

***

Pick *i*: it beats the second-best structure by 1089 meV/atom.

***

*i*
The following is a DFT calculation (PBE) of VB2S4 after structural relaxation.

Geometry as CIF:
```
data_VB2S4
_cell_length_a 11.482
_cell_length_b 3.052
_cell_length_c 6.556
_cell_angle_alpha 90.00
_cell_angle_beta 106.42
_cell_angle_gamma 90.00
_symmetry_space_group_name_H-M 'P 1'
_symmetry_Int_Tables_number 1
loop_
_symmetry_equiv_pos_as_xyz
'x,y,z'
loop_
_atom_site_label
_atom_site_fract_x
_atom_site_fract_y
_atom_site_fract_z
V1 0.000 0.000 0.000
V2 0.500 0.500 0.000
B1 0.217 0.000 0.140
B2 0.283 0.500 0.860
B3 0.717 0.500 0.140
B4 0.783 0.000 0.860
S1 0.108 0.500 0.264
S2 0.162 0.000 0.823
S3 0.338 0.500 0.177
S4 0.392 0.000 0.736
S5 0.608 0.000 0.264
S6 0.662 0.500 0.823
S7 0.838 0.000 0.177
S8 0.892 0.500 0.736
```

Calculated volume = 220 Å³/cell
SG = No. 12

***

*ii*
The following is a DFT calculation (PBE) of VB2S4 after structural relaxation.

Geometry as CIF:
```
data_VB2S4
_cell_length_a 6.809
_cell_length_b 6.809
_cell_length_c 5.204
_cell_angle_alpha 90.00
_cell_angle_beta 90.00
_cell_angle_gamma 90.00
_symmetry_space_group_name_H-M 'P 1'
_symmetry_Int_Tables_number 1
loop_
_symmetry_equiv_pos_as_xyz
'x,y,z'
loop_
_atom_site_label
_atom_site_fract_x
_atom_site_fract_y
_atom_site_fract_z
V1 0.000 0.000 0.000
V2 0.500 0.500 0.500
B1 0.000 0.500 0.250
B2 0.000 0.500 0.750
B3 0.500 0.000 0.250
B4 0.500 0.000 0.750
S1 0.134 0.339 0.000
S2 0.161 0.634 0.500
S3 0.339 0.866 0.000
S4 0.366 0.161 0.500
S5 0.634 0.839 0.500
S6 0.661 0.134 0.000
S7 0.839 0.366 0.500
S8 0.866 0.661 0.000
```

Calculated volume = 241 Å³/cell
SG = No. 87

***

Pick *ii*: it beats the second-best structure by 314 meV/atom.

***

*i*
The following is a DFT calculation (PBE) of BW2S after structural relaxation.

Geometry as CIF:
```
data_BW2S
_cell_length_a 5.145
_cell_length_b 5.145
_cell_length_c 9.961
_cell_angle_alpha 90.00
_cell_angle_beta 90.00
_cell_angle_gamma 90.00
_symmetry_space_group_name_H-M 'P 1'
_symmetry_Int_Tables_number 1
loop_
_symmetry_equiv_pos_as_xyz
'x,y,z'
loop_
_atom_site_label
_atom_site_fract_x
_atom_site_fract_y
_atom_site_fract_z
B1 0.000 0.000 0.000
B2 0.000 0.500 0.250
B3 0.500 0.000 0.750
B4 0.500 0.500 0.500
W1 0.209 0.250 0.125
W2 0.250 0.709 0.375
W3 0.250 0.791 0.875
W4 0.291 0.250 0.625
W5 0.709 0.750 0.625
W6 0.750 0.209 0.875
W7 0.750 0.291 0.375
W8 0.791 0.750 0.125
S1 0.000 0.000 0.500
S2 0.000 0.500 0.750
S3 0.500 0.000 0.250
S4 0.500 0.500 0.000
```

Calculated volume = 264 Å³/cell
SG = No. 122

***

*ii*
The following is a DFT calculation (PBE) of BW2S after structural relaxation.

Geometry as CIF:
```
data_BW2S
_cell_length_a 5.828
_cell_length_b 5.828
_cell_length_c 5.828
_cell_angle_alpha 90.00
_cell_angle_beta 90.00
_cell_angle_gamma 90.00
_symmetry_space_group_name_H-M 'P 1'
_symmetry_Int_Tables_number 1
loop_
_symmetry_equiv_pos_as_xyz
'x,y,z'
loop_
_atom_site_label
_atom_site_fract_x
_atom_site_fract_y
_atom_site_fract_z
B1 0.000 0.000 0.000
B2 0.000 0.500 0.500
B3 0.500 0.000 0.500
B4 0.500 0.500 0.000
W1 0.250 0.250 0.250
W2 0.250 0.250 0.750
W3 0.250 0.750 0.250
W4 0.250 0.750 0.750
W5 0.750 0.250 0.250
W6 0.750 0.250 0.750
W7 0.750 0.750 0.250
W8 0.750 0.750 0.750
S1 0.000 0.000 0.500
S2 0.000 0.500 0.000
S3 0.500 0.000 0.000
S4 0.500 0.500 0.500
```

Calculated volume = 198 Å³/cell
SG = No. 225

***

Pick *ii*: it beats the second-best structure by 295 meV/atom.

***

*i*
The following is a DFT calculation (PBE) of B2W2S after structural relaxation.

Geometry as CIF:
```
data_B2W2S
_cell_length_a 6.319
_cell_length_b 6.319
_cell_length_c 3.007
_cell_angle_alpha 90.00
_cell_angle_beta 90.00
_cell_angle_gamma 90.00
_symmetry_space_group_name_H-M 'P 1'
_symmetry_Int_Tables_number 1
loop_
_symmetry_equiv_pos_as_xyz
'x,y,z'
loop_
_atom_site_label
_atom_site_fract_x
_atom_site_fract_y
_atom_site_fract_z
B1 0.103 0.397 0.000
B2 0.397 0.897 0.000
B3 0.603 0.103 0.000
B4 0.897 0.603 0.000
W1 0.169 0.669 0.500
W2 0.331 0.169 0.500
W3 0.669 0.831 0.500
W4 0.831 0.331 0.500
S1 0.000 0.000 0.500
S2 0.500 0.500 0.500
```

Calculated volume = 120 Å³/cell
SG = No. 127

***

*ii*
The following is a DFT calculation (PBE) of B2W2S after structural relaxation.

Geometry as CIF:
```
data_B2W2S
_cell_length_a 2.992
_cell_length_b 2.992
_cell_length_c 12.836
_cell_angle_alpha 90.00
_cell_angle_beta 90.00
_cell_angle_gamma 90.00
_symmetry_space_group_name_H-M 'P 1'
_symmetry_Int_Tables_number 1
loop_
_symmetry_equiv_pos_as_xyz
'x,y,z'
loop_
_atom_site_label
_atom_site_fract_x
_atom_site_fract_y
_atom_site_fract_z
B1 0.000 0.500 0.250
B2 0.000 0.500 0.750
B3 0.500 0.000 0.250
B4 0.500 0.000 0.750
W1 0.000 0.000 0.115
W2 0.000 0.000 0.885
W3 0.500 0.500 0.385
W4 0.500 0.500 0.615
S1 0.000 0.000 0.500
S2 0.500 0.500 0.000
```

Calculated volume = 115 Å³/cell
SG = No. 139

***

Pick *ii*: it beats the second-best structure by 40 meV/atom.

***

*i*
The following is a DFT calculation (PBE) of Y2BS after structural relaxation.

Geometry as CIF:
```
data_Y2BS
_cell_length_a 6.705
_cell_length_b 6.705
_cell_length_c 6.705
_cell_angle_alpha 90.00
_cell_angle_beta 90.00
_cell_angle_gamma 90.00
_symmetry_space_group_name_H-M 'P 1'
_symmetry_Int_Tables_number 1
loop_
_symmetry_equiv_pos_as_xyz
'x,y,z'
loop_
_atom_site_label
_atom_site_fract_x
_atom_site_fract_y
_atom_site_fract_z
Y1 0.250 0.250 0.250
Y2 0.250 0.250 0.750
Y3 0.250 0.750 0.250
Y4 0.250 0.750 0.750
Y5 0.750 0.250 0.250
Y6 0.750 0.250 0.750
Y7 0.750 0.750 0.250
Y8 0.750 0.750 0.750
B1 0.000 0.000 0.000
B2 0.000 0.500 0.500
B3 0.500 0.000 0.500
B4 0.500 0.500 0.000
S1 0.000 0.000 0.500
S2 0.000 0.500 0.000
S3 0.500 0.000 0.000
S4 0.500 0.500 0.500
```

Calculated volume = 301 Å³/cell
SG = No. 225

***

*ii*
The following is a DFT calculation (PBE) of Y2BS after structural relaxation.

Geometry as CIF:
```
data_Y2BS
_cell_length_a 6.856
_cell_length_b 6.856
_cell_length_c 7.539
_cell_angle_alpha 90.00
_cell_angle_beta 90.00
_cell_angle_gamma 90.00
_symmetry_space_group_name_H-M 'P 1'
_symmetry_Int_Tables_number 1
loop_
_symmetry_equiv_pos_as_xyz
'x,y,z'
loop_
_atom_site_label
_atom_site_fract_x
_atom_site_fract_y
_atom_site_fract_z
Y1 0.222 0.750 0.125
Y2 0.250 0.222 0.875
Y3 0.250 0.278 0.375
Y4 0.278 0.750 0.625
Y5 0.722 0.250 0.625
Y6 0.750 0.722 0.375
Y7 0.750 0.778 0.875
Y8 0.778 0.250 0.125
B1 0.000 0.000 0.000
B2 0.000 0.500 0.250
B3 0.500 0.000 0.750
B4 0.500 0.500 0.500
S1 0.000 0.000 0.500
S2 0.000 0.500 0.750
S3 0.500 0.000 0.250
S4 0.500 0.500 0.000
```

Calculated volume = 354 Å³/cell
SG = No. 122

***

Pick *ii*: it beats the second-best structure by 187 meV/atom.